DFT (GGA-PBE) results for a geometry-optimized Cs3Ho2ScTe6 structure.

Formation energy without anion corrections ... -1326 meV per atom
Space-group type ... C2/m
Calculated volume ... 38.69 Å³/atom

Cell lengths 7.766, 7.766, 9.260 Å; angles 98.05, 98.05, 120.00 degrees
Atoms (fractional coordinates):
1 Cs 0.170 0.830 0.500
2 Cs 0.830 0.170 0.500
3 Cs 0.500 0.500 0.500
4 Ho 0.334 0.666 0.000
5 Ho 0.666 0.334 0.000
6 Sc 0.000 0.000 0.000
7 Te 0.938 0.615 0.814
8 Te 0.739 0.739 0.187
9 Te 0.062 0.385 0.186
10 Te 0.615 0.938 0.814
11 Te 0.261 0.261 0.813
12 Te 0.385 0.062 0.186

DFT (GGA-PBE) results for a geometry-optimized CdCuRu2 structure.

ΔH_f (0 K) ... 0.2004 eV per atom
Space-group type ... Pmm2
Calculated volume ... 15.18 Å³/atom

Cell lengths 3.686, 2.805, 6.508 Å; angles 64.50, 90.00, 90.00 degrees
Atoms (fractional coordinates):
1 Cd 0.000 0.485 0.515
2 Cu 0.500 0.737 0.764
3 Ru 0.000 0.985 0.015
4 Ru 0.500 0.293 0.207

DFT (GGA-PBE) results for a geometry-optimized Cl structure.

Formation energy without anion corrections ... 49 meV per atom
Space-group type ... I-43m
Calculated volume ... 55.94 Å³/atom

Cell lengths 9.637, 9.637, 9.637 Å; angles 90.00, 90.00, 90.00 degrees
Atoms (fractional coordinates):
1 Cl 0.239 0.239 0.239
2 Cl 0.239 0.761 0.761
3 Cl 0.761 0.239 0.761
4 Cl 0.761 0.761 0.239
5 Cl 0.739 0.739 0.739
6 Cl 0.739 0.261 0.261
7 Cl 0.261 0.739 0.261
8 Cl 0.261 0.261 0.739
9 Cl 0.359 0.359 0.359
10 Cl 0.359 0.641 0.641
11 Cl 0.641 0.359 0.641
12 Cl 0.641 0.641 0.359
13 Cl 0.859 0.859 0.859
14 Cl 0.859 0.141 0.141
15 Cl 0.141 0.859 0.141
16 Cl 0.141 0.141 0.859

DFT (GGA-PBE) results for a geometry-optimized IrPb2Se structure.

Formation energy without anion corrections ... 43 meV per atom
Space-group type ... R3m
Calculated volume ... 25.96 Å³/atom

Cell lengths 9.624, 9.624, 9.624 Å; angles 21.39, 21.39, 21.39 degrees
Atoms (fractional coordinates):
1 Ir 0.762 0.762 0.762
2 Pb 0.017 0.017 0.017
3 Pb 0.250 0.250 0.250
4 Se 0.472 0.472 0.472

DFT (GGA-PBE) results for a geometry-optimized Ho2InTe5 structure.

Formation energy without anion corrections ... -820 meV per atom
Space-group type ... Cmcm
Calculated volume ... 38.74 Å³/atom

Cell lengths 6.157, 8.028, 13.577 Å; angles 90.00, 90.00, 112.55 degrees
Atoms (fractional coordinates):
1 Ho 0.831 0.663 0.434
2 Ho 0.831 0.663 0.066
3 Ho 0.169 0.337 0.566
4 Ho 0.169 0.337 0.934
5 In 0.803 0.606 0.750
6 In 0.197 0.394 0.250
7 Te 0.966 0.932 0.895
8 Te 0.966 0.932 0.605
9 Te 0.324 0.648 0.419
10 Te 0.324 0.648 0.081
11 Te 0.715 0.430 0.250
12 Te 0.285 0.570 0.750
13 Te 0.676 0.352 0.581
14 Te 0.676 0.352 0.919
15 Te 0.034 0.068 0.105
16 Te 0.034 0.068 0.395

DFT (GGA-PBE) results for a geometry-optimized Ho3Er2Tl structure.

ΔH_f (0 K) ... -0.1097 eV per atom
Space-group type ... Cmmm
Calculated volume ... 29.22 Å³/atom

Cell lengths 4.826, 4.846, 7.879 Å; angles 107.91, 90.00, 90.00 degrees
Atoms (fractional coordinates):
1 Ho 0.500 0.169 0.339
2 Ho 0.500 0.500 0.000
3 Ho 0.500 0.831 0.661
4 Er 0.000 0.663 0.326
5 Er 0.000 0.337 0.674
6 Tl 0.000 0.000 0.000